Record 1
4
Lattice="4.1540 0.0000 0.0000 0.0000 4.1540 0.0000 0.0000 0.0000 6.9868" Properties=species:S:1:pos:R:3 comment="GdY2Pb PBE relaxed" formation_enthalpy_0k_ev_per_atom=-0.215 relative_energy_mev_per_atom=91 magmom_total_mub_per_cell=8.32 dos_ef_per_ev_cell=6.32 pbc="T T T"
Gd 0.0000 0.0000 0.0000
Y 2.0770 2.0770 1.8711
Y 2.0770 2.0770 5.1157
Pb 0.0000 0.0000 3.4934

***

Record 2
3
Lattice="-1.6766 1.6766 8.9401 1.6766 -1.6766 8.9401 1.6766 1.6766 -8.9401" Properties=species:S:1:pos:R:3 comment="GdYPb PBE relaxed" formation_enthalpy_0k_ev_per_atom=0.186 magmom_total_mub_per_cell=8.57 dos_ef_per_ev_cell=4.85 pbc="T T T"
Gd 0.0000 0.0000 0.0000
Y 0.0000 0.0000 3.4103
Pb 0.0000 0.0000 14.7358

***

Record 3
4
Lattice="1.7760 1.0254 12.0566 -1.7760 1.0254 12.0566 0.0000 -2.0507 12.0566" Properties=species:S:1:pos:R:3 comment="GdY2Pb PBE relaxed" formation_enthalpy_0k_ev_per_atom=0.049 relative_energy_mev_per_atom=355 magmom_total_mub_per_cell=7.22 dos_ef_per_ev_cell=4.59 pbc="T T T"
Gd 0.0000 0.0000 0.0000
Y 0.0000 0.0000 14.9210
Y 0.0000 0.0000 21.2488
Pb 0.0000 0.0000 18.0849

***

Record 4
3
Lattice="4.5859 0.0000 0.0000 -2.2930 3.9715 0.0000 0.0000 0.0000 4.1665" Properties=species:S:1:pos:R:3 comment="GdZnPb PBE relaxed" formation_enthalpy_0k_ev_per_atom=-0.342 magmom_total_mub_per_cell=7.08 dos_ef_per_ev_cell=1.55 pbc="T T T"
Gd 0.0000 0.0000 0.0000
Zn 0.0000 2.6477 2.6679
Pb 2.2930 1.3238 1.8717

***

Record 5
3
Lattice="-1.7816 1.7816 5.9402 1.7816 -1.7816 5.9402 1.7816 1.7816 -5.9402" Properties=species:S:1:pos:R:3 comment="GdZnPb PBE relaxed" formation_enthalpy_0k_ev_per_atom=-0.256 magmom_total_mub_per_cell=7.64 dos_ef_per_ev_cell=2.25 pbc="T T T"
Gd 0.0000 0.0000 0.0000
Zn 0.0000 0.0000 7.7293
Pb 0.0000 0.0000 3.5506

***

Record 6
4
Lattice="5.0035 0.0000 0.0000 0.0000 5.0035 0.0000 0.0000 0.0000 4.2078" Properties=species:S:1:pos:R:3 comment="Gd2ZnPb PBE relaxed" formation_enthalpy_0k_ev_per_atom=-0.414 relative_energy_mev_per_atom=0 magmom_total_mub_per_cell=14.76 dos_ef_per_ev_cell=2.65 pbc="T T T"
Gd 0.0000 2.5018 0.0000
Gd 2.5018 0.0000 0.0000
Zn 0.0000 0.0000 2.1039
Pb 2.5018 2.5018 2.1039

***

Record 7
3
Lattice="0.0000 3.4021 3.4021 3.4021 0.0000 3.4021 3.4021 3.4021 0.0000" Properties=species:S:1:pos:R:3 comment="GdZnPb PBE relaxed" formation_enthalpy_0k_ev_per_atom=-0.282 magmom_total_mub_per_cell=7.03 dos_ef_per_ev_cell=3.21 pbc="T T T"
Gd 0.0000 0.0000 0.0000
Zn 1.7010 1.7010 1.7010
Pb 3.4021 3.4021 3.4021

***

Record 8
4
Lattice="1.7813 1.0284 10.8816 -1.7813 1.0284 10.8816 0.0000 -2.0568 10.8816" Properties=species:S:1:pos:R:3 comment="Gd2ZnPb PBE relaxed" formation_enthalpy_0k_ev_per_atom=-0.019 relative_energy_mev_per_atom=396 magmom_total_mub_per_cell=14.90 dos_ef_per_ev_cell=3.77 pbc="T T T"
Gd 0.0000 0.0000 3.2156
Gd 0.0000 0.0000 29.4292
Zn 0.0000 0.0000 16.3224
Pb 0.0000 0.0000 0.0000

***

Record 9
4
Lattice="0.0000 3.7509 3.7509 3.7509 0.0000 3.7509 3.7509 3.7509 0.0000" Properties=species:S:1:pos:R:3 comment="Gd2ZnPb PBE relaxed" formation_enthalpy_0k_ev_per_atom=-0.410 relative_energy_mev_per_atom=4 magmom_total_mub_per_cell=14.67 dos_ef_per_ev_cell=3.40 pbc="T T T"
Gd 1.8754 1.8754 1.8754
Gd 5.6263 5.6263 5.6263
Zn 0.0000 0.0000 0.0000
Pb 3.7509 3.7509 3.7509

***

Record 10
3
Lattice="-1.5862 1.5862 8.7355 1.5862 -1.5862 8.7355 1.5862 1.5862 -8.7355" Properties=species:S:1:pos:R:3 comment="GdZrPb PBE relaxed" formation_enthalpy_0k_ev_per_atom=0.357 relative_energy_mev_per_atom=394 magmom_total_mub_per_cell=8.05 dos_ef_per_ev_cell=3.72 pbc="T T T"
Gd 0.0000 0.0000 0.0000
Zr 0.0000 0.0000 3.1911
Pb 0.0000 0.0000 14.2653

***

Record 11
4
Lattice="2.4439 1.4110 5.3450 -2.4439 1.4110 5.3450 0.0000 -2.8220 5.3450" Properties=species:S:1:pos:R:3 comment="GdZrPb2 PBE relaxed" formation_enthalpy_0k_ev_per_atom=-0.228 relative_energy_mev_per_atom=26 magmom_total_mub_per_cell=7.05 dos_ef_per_ev_cell=3.41 pbc="T T T"
Gd 0.0000 0.0000 0.0000
Zr 0.0000 0.0000 8.0175
Pb 0.0000 0.0000 3.8895
Pb 0.0000 0.0000 12.1454

***

Record 12
4
Lattice="4.6419 0.0000 0.0000 0.0000 4.6419 0.0000 0.0000 0.0000 4.5919" Properties=species:S:1:pos:R:3 comment="GdZr2Pb PBE relaxed" formation_enthalpy_0k_ev_per_atom=-0.125 magmom_total_mub_per_cell=7.45 dos_ef_per_ev_cell=4.41 pbc="T T T"
Gd 0.0000 0.0000 0.0000
Zr 0.0000 2.3209 2.2960
Zr 2.3209 0.0000 2.2960
Pb 2.3209 2.3209 0.0000

***

Record 13
4
Lattice="4.8622 0.0000 0.0000 0.0000 4.8622 0.0000 0.0000 0.0000 4.4323" Properties=species:S:1:pos:R:3 comment="GdZrPb2 PBE relaxed" formation_enthalpy_0k_ev_per_atom=-0.226 relative_energy_mev_per_atom=28 magmom_total_mub_per_cell=7.32 dos_ef_per_ev_cell=4.72 pbc="T T T"
Gd 0.0000 0.0000 0.0000
Zr 2.4311 2.4311 0.0000
Pb 0.0000 2.4311 2.2161
Pb 2.4311 0.0000 2.2161

***

Record 14
3
Lattice="5.2858 0.0000 0.0000 -2.6429 4.5777 0.0000 0.0000 0.0000 3.4008" Properties=species:S:1:pos:R:3 comment="GdZrPb PBE relaxed" formation_enthalpy_0k_ev_per_atom=-0.036 relative_energy_mev_per_atom=0 magmom_total_mub_per_cell=8.48 dos_ef_per_ev_cell=4.74 pbc="T T T"
Gd 0.0000 0.0000 0.0000
Zr 2.6429 1.5259 1.6940
Pb 0.0000 3.0518 1.7130

***

Record 15
4
Lattice="1.7222 0.9943 11.7887 -1.7222 0.9943 11.7887 0.0000 -1.9887 11.7887" Properties=species:S:1:pos:R:3 comment="Gd2ZrPb PBE relaxed" formation_enthalpy_0k_ev_per_atom=0.098 relative_energy_mev_per_atom=287 magmom_total_mub_per_cell=14.57 dos_ef_per_ev_cell=5.00 pbc="T T T"
Gd 0.0000 0.0000 3.2588
Gd 0.0000 0.0000 32.1072
Zr 0.0000 0.0000 17.6830
Pb 0.0000 0.0000 0.0000

***

Record 16
4
Lattice="3.9632 0.0000 0.0000 0.0000 3.9632 0.0000 0.0000 0.0000 6.7313" Properties=species:S:1:pos:R:3 comment="GdZrPb2 PBE relaxed" formation_enthalpy_0k_ev_per_atom=-0.254 relative_energy_mev_per_atom=0 magmom_total_mub_per_cell=7.24 dos_ef_per_ev_cell=3.57 pbc="T T T"
Gd 0.0000 0.0000 0.0000
Zr 0.0000 0.0000 3.3657
Pb 1.9816 1.9816 1.8101
Pb 1.9816 1.9816 4.9212

***

Record 17
4
Lattice="4.7414 0.0000 0.0000 0.0000 4.7414 0.0000 0.0000 0.0000 4.7724" Properties=species:S:1:pos:R:3 comment="Gd2ZrPb PBE relaxed" formation_enthalpy_0k_ev_per_atom=-0.189 relative_energy_mev_per_atom=0 magmom_total_mub_per_cell=14.59 dos_ef_per_ev_cell=5.19 pbc="T T T"
Gd 0.0000 2.3707 0.0000
Gd 2.3707 0.0000 0.0000
Zr 0.0000 0.0000 2.3862
Pb 2.3707 2.3707 2.3862

***

Record 18
3
Lattice="-1.8051 1.8051 4.5419 1.8051 -1.8051 4.5419 1.8051 1.8051 -4.5419" Properties=species:S:1:pos:R:3 comment="GdPd2 PBE relaxed" formation_enthalpy_0k_ev_per_atom=-0.728 magmom_total_mub_per_cell=7.22 dos_ef_per_ev_cell=2.00 pbc="T T T"
Gd 0.0000 0.0000 0.0000
Pd 0.0000 0.0000 3.0155
Pd 0.0000 0.0000 6.0684

***

Record 19
3
Lattice="0.0000 3.5139 3.5139 3.5139 0.0000 3.5139 3.5139 3.5139 0.0000" Properties=species:S:1:pos:R:3 comment="PmGdPd PBE relaxed" formation_enthalpy_0k_ev_per_atom=-0.420 relative_energy_mev_per_atom=85 magmom_total_mub_per_cell=7.32 dos_ef_per_ev_cell=4.18 pbc="T T T"
Pm 0.0000 0.0000 0.0000
Gd 3.5139 3.5139 3.5139
Pd 5.2709 5.2709 5.2709

***

Record 20
4
Lattice="3.6140 0.0000 0.0000 0.0000 3.6140 0.0000 0.0000 0.0000 8.5797" Properties=species:S:1:pos:R:3 comment="PmGd2Pd PBE relaxed" formation_enthalpy_0k_ev_per_atom=-0.387 relative_energy_mev_per_atom=0 magmom_total_mub_per_cell=14.82 dos_ef_per_ev_cell=5.68 pbc="T T T"
Pm 0.0000 0.0000 0.0000
Gd 1.8070 1.8070 2.6021
Gd 1.8070 1.8070 5.9777
Pd 0.0000 0.0000 4.2899

***

Record 21
4
Lattice="0.0000 3.5714 3.5714 3.5714 0.0000 3.5714 3.5714 3.5714 0.0000" Properties=species:S:1:pos:R:3 comment="PmGdPd2 PBE relaxed" formation_enthalpy_0k_ev_per_atom=-0.800 relative_energy_mev_per_atom=0 magmom_total_mub_per_cell=7.25 dos_ef_per_ev_cell=3.36 pbc="T T T"
Pm 0.0000 0.0000 0.0000
Gd 3.5714 3.5714 3.5714
Pd 1.7857 1.7857 1.7857
Pd 5.3570 5.3570 5.3570

***

Record 22
3
Lattice="-1.8199 1.8199 5.9941 1.8199 -1.8199 5.9941 1.8199 1.8199 -5.9941" Properties=species:S:1:pos:R:3 comment="PmGdPd PBE relaxed" formation_enthalpy_0k_ev_per_atom=-0.505 relative_energy_mev_per_atom=0 magmom_total_mub_per_cell=8.10 dos_ef_per_ev_cell=2.37 pbc="T T T"
Pm 0.0000 0.0000 0.0000
Gd 0.0000 0.0000 8.5835
Pd 0.0000 0.0000 4.2382

***

Record 23
4
Lattice="3.6572 0.0000 0.0000 0.0000 3.6572 0.0000 0.0000 0.0000 8.5736" Properties=species:S:1:pos:R:3 comment="Pm2GdPd PBE relaxed" formation_enthalpy_0k_ev_per_atom=-0.340 magmom_total_mub_per_cell=8.29 dos_ef_per_ev_cell=6.01 pbc="T T T"
Pm 0.0000 0.0000 1.7181
Pm 0.0000 0.0000 6.8556
Gd 1.8286 1.8286 4.2868
Pd 1.8286 1.8286 0.0000

***

Record 24
4
Lattice="1.8780 1.0843 9.7677 -1.8780 1.0843 9.7677 0.0000 -2.1686 9.7677" Properties=species:S:1:pos:R:3 comment="PmGd2Pd PBE relaxed" formation_enthalpy_0k_ev_per_atom=-0.287 relative_energy_mev_per_atom=100 magmom_total_mub_per_cell=14.46 dos_ef_per_ev_cell=4.48 pbc="T T T"
Pm 0.0000 0.0000 0.0000
Gd 0.0000 0.0000 6.7828
Gd 0.0000 0.0000 22.5202
Pd 0.0000 0.0000 14.6515

***

Record 25
3
Lattice="4.8189 0.0000 0.0000 -2.4094 4.1733 0.0000 0.0000 0.0000 3.9059" Properties=species:S:1:pos:R:3 comment="PmGdPd PBE relaxed" formation_enthalpy_0k_ev_per_atom=-0.371 relative_energy_mev_per_atom=134 magmom_total_mub_per_cell=7.26 dos_ef_per_ev_cell=2.91 pbc="T T T"
Pm 0.0000 0.0000 0.0000
Gd 2.4094 1.3911 1.7523
Pd 0.0000 2.7822 2.7319

***

Record 26
4
Lattice="5.0938 0.0000 0.0000 0.0000 5.0938 0.0000 0.0000 0.0000 3.5017" Properties=species:S:1:pos:R:3 comment="PmGdPd2 PBE relaxed" formation_enthalpy_0k_ev_per_atom=-0.801 relative_energy_mev_per_atom=0 magmom_total_mub_per_cell=7.14 dos_ef_per_ev_cell=2.94 pbc="T T T"
Pm 0.0000 0.0000 0.0000
Gd 2.5469 2.5469 0.0000
Pd 0.0000 2.5469 1.7508
Pd 2.5469 0.0000 1.7508

***

Record 27
4
Lattice="2.0748 1.1979 6.7900 -2.0748 1.1979 6.7900 0.0000 -2.3958 6.7900" Properties=species:S:1:pos:R:3 comment="PmGdPd2 PBE relaxed" formation_enthalpy_0k_ev_per_atom=-0.704 relative_energy_mev_per_atom=97 magmom_total_mub_per_cell=7.15 dos_ef_per_ev_cell=2.64 pbc="T T T"
Pm 0.0000 0.0000 0.0000
Gd 0.0000 0.0000 10.1850
Pd 0.0000 0.0000 5.0539
Pd 0.0000 0.0000 15.3161

***

Record 28
4
Lattice="0.0000 3.5821 3.5821 3.5821 0.0000 3.5821 3.5821 3.5821 0.0000" Properties=species:S:1:pos:R:3 comment="PmGdSiPd PBE relaxed" dft_energy_ev_per_atom=-8.0352 magmom_total_mub_per_cell=7.26 dos_ef_per_ev_cell=3.11 pbc="T T T"
Pm 0.0000 0.0000 0.0000
Gd 3.5821 3.5821 3.5821
Si 5.3731 5.3731 5.3731
Pd 1.7910 1.7910 1.7910

***

Record 29
4
Lattice="0.0000 3.7231 3.7231 3.7231 0.0000 3.7231 3.7231 3.7231 0.0000" Properties=species:S:1:pos:R:3 comment="PmGdTlPd PBE relaxed" formation_enthalpy_0k_ev_per_atom=-0.515 magmom_total_mub_per_cell=7.31 dos_ef_per_ev_cell=3.62 pbc="T T T"
Pm 0.0000 0.0000 0.0000
Gd 3.7231 3.7231 3.7231
Tl 5.5847 5.5847 5.5847
Pd 1.8616 1.8616 1.8616

***

Record 30
4
Lattice="0.0000 3.6049 3.6049 3.6049 0.0000 3.6049 3.6049 3.6049 0.0000" Properties=species:S:1:pos:R:3 comment="PmGdZnPd PBE relaxed" formation_enthalpy_0k_ev_per_atom=-0.546 magmom_total_mub_per_cell=7.15 dos_ef_per_ev_cell=2.92 pbc="T T T"
Pm 0.0000 0.0000 0.0000
Gd 3.6049 3.6049 3.6049
Zn 5.4073 5.4073 5.4073
Pd 1.8024 1.8024 1.8024

***

Record 31
4
Lattice="0.0000 3.7404 3.7404 3.7404 0.0000 3.7404 3.7404 3.7404 0.0000" Properties=species:S:1:pos:R:3 comment="PrGd2Pd PBE relaxed" formation_enthalpy_0k_ev_per_atom=-0.140 relative_energy_mev_per_atom=252 magmom_total_mub_per_cell=15.96 dos_ef_per_ev_cell=4.81 pbc="T T T"
Pr 0.0000 0.0000 0.0000
Gd 1.8702 1.8702 1.8702
Gd 5.6106 5.6106 5.6106
Pd 3.7404 3.7404 3.7404